# 1
Zn2GaSn2 | PBE-GGA | relaxed

## Properties
energy relative to the lowest polymorph listed for this composition	0.31	eV/f.u.
uncorrected energy	-2.5593	eV per atom
spin magnetization	0.00	Bohr magnetons per cell

Geometry as CIF:
```
data_Zn2GaSn2
_space_group_name_H-M_alt 'P 4/m b m'
_space_group_IT_number 127
_space_group_name_Hall '-P 4 2ab'
_cell_length_a 8.350
_cell_length_b 8.350
_cell_length_c 3.187
_cell_angle_alpha 90.00
_cell_angle_beta 90.00
_cell_angle_gamma 90.00
loop_
_atom_site_label
_atom_site_type_symbol
_atom_site_fract_x
_atom_site_fract_y
_atom_site_fract_z
Zn1 Zn 0.113 0.387 0.000
Ga1 Ga 0.000 0.000 0.500
Sn1 Sn 0.184 0.684 0.500
```


# 2
Er2Cu5Ni5 | PBE-GGA | relaxed

## Properties
energy relative to the lowest polymorph listed for this composition	0.10	eV/f.u.
uncorrected energy	-5.1585	eV per atom
spin magnetization	0.00	Bohr magnetons per cell

Geometry as CIF:
```
data_Er2Cu5Ni5
_space_group_name_H-M_alt 'P m m m'
_space_group_IT_number 47
_space_group_name_Hall '-P 2 2'
_cell_length_a 3.977
_cell_length_b 4.957
_cell_length_c 8.542
_cell_angle_alpha 90.00
_cell_angle_beta 90.00
_cell_angle_gamma 90.00
loop_
_atom_site_label
_atom_site_type_symbol
_atom_site_fract_x
_atom_site_fract_y
_atom_site_fract_z
Er1 Er 0.000 0.000 0.000
Er2 Er 0.000 0.500 0.500
Cu1 Cu 0.000 0.000 0.330
Cu2 Cu 0.000 0.500 0.167
Cu3 Cu 0.500 0.000 0.500
Ni1 Ni 0.500 0.250 0.248
Ni2 Ni 0.500 0.500 0.000
```


# 3
Sc3SnN | PBE-GGA | relaxed

## Properties
uncorrected formation energy	-5.45	eV/f.u.
uncorrected energy	-7.3540	eV per atom
spin magnetization	0.00	Bohr magnetons per cell

Geometry as CIF:
```
data_Sc3SnN
_space_group_name_H-M_alt 'P 1 2/m 1'
_space_group_IT_number 10
_space_group_name_Hall '-P 2y'
_cell_length_a 3.376
_cell_length_b 4.350
_cell_length_c 6.284
_cell_angle_alpha 90.00
_cell_angle_beta 90.90
_cell_angle_gamma 90.00
loop_
_atom_site_label
_atom_site_type_symbol
_atom_site_fract_x
_atom_site_fract_y
_atom_site_fract_z
Sc1 Sc 0.000 0.000 0.000
Sc2 Sc 0.493 0.500 0.762
Sn1 Sn 0.000 0.000 0.500
N1 N 0.000 0.500 0.000
```


# 4
BaPaNi2S4 | PBE-GGA | relaxed

## Properties
uncorrected formation energy	-8.21	eV/f.u.
uncorrected energy	-5.9625	eV per atom
spin magnetization	1.84	Bohr magnetons per cell

Geometry as CIF:
```
data_BaPaNi2S4
_space_group_name_H-M_alt 'I 2 2 2'
_space_group_IT_number 23
_space_group_name_Hall 'I 2 2'
_cell_length_a 6.115
_cell_length_b 7.293
_cell_length_c 8.339
_cell_angle_alpha 90.00
_cell_angle_beta 90.00
_cell_angle_gamma 90.00
loop_
_atom_site_label
_atom_site_type_symbol
_atom_site_fract_x
_atom_site_fract_y
_atom_site_fract_z
Ba1 Ba 0.000 0.000 0.000
Pa1 Pa 0.000 0.000 0.500
Ni1 Ni 0.000 0.500 0.145
S1 S 0.239 0.194 0.305
```


# 5
PrSmY2S4 | PBE-GGA | relaxed

## Properties
uncorrected formation energy	-16.08	eV/f.u.
uncorrected energy	-6.8772	eV per atom
spin magnetization	0.00	Bohr magnetons per cell

Geometry as CIF:
```
data_PrSmY2S4
_space_group_name_H-M_alt 'P 1 2/m 1'
_space_group_IT_number 10
_space_group_name_Hall '-P 2y'
_cell_length_a 6.881
_cell_length_b 3.939
_cell_length_c 7.000
_cell_angle_alpha 90.00
_cell_angle_beta 108.86
_cell_angle_gamma 90.00
loop_
_atom_site_label
_atom_site_type_symbol
_atom_site_fract_x
_atom_site_fract_y
_atom_site_fract_z
Pr1 Pr 0.000 0.000 0.000
Sm1 Sm 0.500 0.500 0.000
Y1 Y 0.000 0.500 0.500
Y2 Y 0.500 0.000 0.500
S1 S 0.249 0.000 0.738
S2 S 0.259 0.500 0.265
```


# 6
PaI2O6 | PBE-GGA | relaxed

## Properties
uncorrected formation energy	-12.08	eV/f.u.
uncorrected energy	-6.0475	eV per atom
spin magnetization	0.00	Bohr magnetons per cell

Geometry as CIF:
```
data_PaI2O6
_space_group_name_H-M_alt 'P 1 21/c 1'
_space_group_IT_number 14
_space_group_name_Hall '-P 2ybc'
_cell_length_a 6.896
_cell_length_b 5.442
_cell_length_c 11.679
_cell_angle_alpha 90.00
_cell_angle_beta 122.54
_cell_angle_gamma 90.00
loop_
_atom_site_label
_atom_site_type_symbol
_atom_site_fract_x
_atom_site_fract_y
_atom_site_fract_z
Pa1 Pa 0.000 0.000 0.000
I1 I 0.258 0.042 0.787
O1 O 0.161 0.748 0.686
O2 O 0.232 0.222 0.624
O3 O 0.234 0.611 0.438
```


# 7
Hf2TiW | PBE-GGA | relaxed

## Properties
energy relative to the lowest polymorph listed for this composition	0.00	eV/f.u.
uncorrected energy	-10.0897	eV per atom
spin magnetization	6.92	Bohr magnetons per cell

Geometry as CIF:
```
data_Hf2TiW
_space_group_name_H-M_alt 'F m -3 m'
_space_group_IT_number 225
_space_group_name_Hall '-F 4 2 3'
_cell_length_a 6.738
_cell_length_b 6.738
_cell_length_c 6.738
_cell_angle_alpha 90.00
_cell_angle_beta 90.00
_cell_angle_gamma 90.00
loop_
_atom_site_label
_atom_site_type_symbol
_atom_site_fract_x
_atom_site_fract_y
_atom_site_fract_z
Hf1 Hf 0.250 0.250 0.250
Ti1 Ti 0.000 0.000 0.000
W1 W 0.000 0.000 0.500
```


# 8
YZrAg2Ru | PBE-GGA | relaxed

## Properties
uncorrected energy	-4.3737	eV per atom
spin magnetization	2.29	Bohr magnetons per cell

Geometry as CIF:
```
data_YZrAg2Ru
_space_group_name_H-M_alt 'P 4/m m m'
_space_group_IT_number 123
_space_group_name_Hall '-P 4 2'
_cell_length_a 5.079
_cell_length_b 5.079
_cell_length_c 5.395
_cell_angle_alpha 90.00
_cell_angle_beta 90.00
_cell_angle_gamma 90.00
loop_
_atom_site_label
_atom_site_type_symbol
_atom_site_fract_x
_atom_site_fract_y
_atom_site_fract_z
Y1 Y 0.000 0.000 0.000
Zr1 Zr 0.000 0.000 0.500
Ag1 Ag 0.000 0.500 0.500
Ru1 Ru 0.500 0.500 0.000
```


# 9
AcTh2Tl | PBE-GGA | relaxed

## Properties
energy relative to the lowest polymorph listed for this composition	0.73	eV/f.u.
uncorrected energy	-5.1496	eV per atom
spin magnetization	0.00	Bohr magnetons per cell

Geometry as CIF:
```
data_AcTh2Tl
_space_group_name_H-M_alt 'F m -3 m'
_space_group_IT_number 225
_space_group_name_Hall '-F 4 2 3'
_cell_length_a 8.059
_cell_length_b 8.059
_cell_length_c 8.059
_cell_angle_alpha 90.00
_cell_angle_beta 90.00
_cell_angle_gamma 90.00
loop_
_atom_site_label
_atom_site_type_symbol
_atom_site_fract_x
_atom_site_fract_y
_atom_site_fract_z
Ac1 Ac 0.000 0.000 0.000
Th1 Th 0.250 0.250 0.250
Tl1 Tl 0.000 0.000 0.500
```


# 10
TlZn2Au2 | PBE-GGA | relaxed

## Properties
energy relative to the lowest polymorph listed for this composition	0.08	eV/f.u.
uncorrected energy	-2.3872	eV per atom
spin magnetization	0.00	Bohr magnetons per cell

Geometry as CIF:
```
data_TlZn2Au2
_space_group_name_H-M_alt 'P 4/m b m'
_space_group_IT_number 127
_space_group_name_Hall '-P 4 2ab'
_cell_length_a 8.027
_cell_length_b 8.027
_cell_length_c 2.964
_cell_angle_alpha 90.00
_cell_angle_beta 90.00
_cell_angle_gamma 90.00
loop_
_atom_site_label
_atom_site_type_symbol
_atom_site_fract_x
_atom_site_fract_y
_atom_site_fract_z
Tl1 Tl 0.000 0.000 0.000
Zn1 Zn 0.159 0.341 0.500
Au1 Au 0.137 0.637 0.000
```


# 11
SrHo2Te4 | PBE-GGA | relaxed

## Properties
uncorrected formation energy	-10.35	eV/f.u.
energy relative to the lowest polymorph listed for this composition	0.10	eV/f.u.
uncorrected energy	-4.8222	eV per atom
spin magnetization	0.00	Bohr magnetons per cell

Geometry as CIF:
```
data_SrHo2Te4
_space_group_name_H-M_alt 'C m c m'
_space_group_IT_number 63
_space_group_name_Hall '-C 2c 2'
_cell_length_a 4.408
_cell_length_b 14.430
_cell_length_c 15.210
_cell_angle_alpha 90.00
_cell_angle_beta 90.00
_cell_angle_gamma 90.00
loop_
_atom_site_label
_atom_site_type_symbol
_atom_site_fract_x
_atom_site_fract_y
_atom_site_fract_z
Sr1 Sr 0.000 0.113 0.250
Ho1 Ho 0.000 0.366 0.068
Te1 Te 0.000 0.000 0.000
Te2 Te 0.000 0.272 0.616
Te3 Te 0.000 0.445 0.250
```


# 12
Ba2Sn4Ir3Pt | PBE-GGA | relaxed

## Properties
uncorrected energy	-5.7353	eV per atom
spin magnetization	0.00	Bohr magnetons per cell

Geometry as CIF:
```
data_Ba2Sn4Ir3Pt
_space_group_name_H-M_alt 'P -4 m 2'
_space_group_IT_number 115
_space_group_name_Hall 'P -4 -2'
_cell_length_a 4.745
_cell_length_b 4.745
_cell_length_c 10.732
_cell_angle_alpha 90.00
_cell_angle_beta 90.00
_cell_angle_gamma 90.00
loop_
_atom_site_label
_atom_site_type_symbol
_atom_site_fract_x
_atom_site_fract_y
_atom_site_fract_z
Ba1 Ba 0.000 0.500 0.245
Sn1 Sn 0.000 0.000 0.500
Sn2 Sn 0.000 0.500 0.876
Sn3 Sn 0.500 0.500 0.500
Ir1 Ir 0.000 0.000 0.000
Ir2 Ir 0.000 0.500 0.624
Pt1 Pt 0.500 0.500 0.000
```


# 13
Ac3Ga2Ag9 | PBE-GGA | relaxed

## Properties
uncorrected energy	-3.3914	eV per atom
spin magnetization	0.00	Bohr magnetons per cell

Geometry as CIF:
```
data_Ac3Ga2Ag9
_space_group_name_H-M_alt 'I m m m'
_space_group_IT_number 71
_space_group_name_Hall '-I 2 2'
_cell_length_a 4.786
_cell_length_b 10.122
_cell_length_c 13.545
_cell_angle_alpha 90.00
_cell_angle_beta 90.00
_cell_angle_gamma 90.00
loop_
_atom_site_label
_atom_site_type_symbol
_atom_site_fract_x
_atom_site_fract_y
_atom_site_fract_z
Ac1 Ac 0.000 0.000 0.000
Ac2 Ac 0.000 0.000 0.306
Ga1 Ga 0.000 0.203 0.500
Ag1 Ag 0.000 0.280 0.126
Ag2 Ag 0.000 0.360 0.336
Ag3 Ag 0.000 0.500 0.000
```


# 14
BeSbC2 | PBE-GGA | relaxed

## Properties
uncorrected formation energy	8.76	eV/f.u.
energy relative to the lowest polymorph listed for this composition	4.71	eV/f.u.
uncorrected energy	-4.3832	eV per atom
spin magnetization	0.00	Bohr magnetons per cell

Geometry as CIF:
```
data_BeSbC2
_space_group_name_H-M_alt 'F m -3 m'
_space_group_IT_number 225
_space_group_name_Hall '-F 4 2 3'
_cell_length_a 5.634
_cell_length_b 5.634
_cell_length_c 5.634
_cell_angle_alpha 90.00
_cell_angle_beta 90.00
_cell_angle_gamma 90.00
loop_
_atom_site_label
_atom_site_type_symbol
_atom_site_fract_x
_atom_site_fract_y
_atom_site_fract_z
Be1 Be 0.000 0.000 0.000
Sb1 Sb 0.000 0.000 0.500
C1 C 0.250 0.250 0.250
```


# 15
KTbAgI5 | PBE-GGA | relaxed

## Properties
uncorrected formation energy	-8.89	eV/f.u.
uncorrected energy	-3.1521	eV per atom
spin magnetization	0.00	Bohr magnetons per cell

Geometry as CIF:
```
data_KTbAgI5
_space_group_name_H-M_alt 'C 1 2/c 1'
_space_group_IT_number 15
_space_group_name_Hall '-C 2yc'
_cell_length_a 9.945
_cell_length_b 13.675
_cell_length_c 11.441
_cell_angle_alpha 90.00
_cell_angle_beta 112.09
_cell_angle_gamma 90.00
loop_
_atom_site_label
_atom_site_type_symbol
_atom_site_fract_x
_atom_site_fract_y
_atom_site_fract_z
K1 K 0.000 0.137 0.250
Tb1 Tb 0.000 0.500 0.000
Ag1 Ag 0.000 0.190 0.750
I1 I 0.000 0.415 0.250
I2 I 0.126 0.303 0.610
I3 I 0.190 0.067 0.948
```


# 16
Nb4InBr7 | PBE-GGA | relaxed

## Properties
uncorrected formation energy	-5.55	eV/f.u.
uncorrected energy	-5.0229	eV per atom
spin magnetization	0.00	Bohr magnetons per cell

Geometry as CIF:
```
data_Nb4InBr7
_space_group_name_H-M_alt 'P 1 21/m 1'
_space_group_IT_number 11
_space_group_name_Hall '-P 2yb'
_cell_length_a 6.907
_cell_length_b 14.059
_cell_length_c 7.715
_cell_angle_alpha 90.00
_cell_angle_beta 98.33
_cell_angle_gamma 90.00
loop_
_atom_site_label
_atom_site_type_symbol
_atom_site_fract_x
_atom_site_fract_y
_atom_site_fract_z
Nb1 Nb 0.062 0.061 0.260
Nb2 Nb 0.198 0.017 0.578
In1 In 0.115 0.750 0.461
Br1 Br 0.116 0.103 0.865
Br2 Br 0.214 0.250 0.288
Br3 Br 0.300 0.631 0.810
Br4 Br 0.370 0.561 0.317
```


# 17
Tb5Pr2YHo | PBE-GGA | relaxed

## Properties
uncorrected energy	-4.5926	eV per atom
spin magnetization	0.00	Bohr magnetons per cell

Geometry as CIF:
```
data_Tb5Pr2YHo
_space_group_name_H-M_alt 'I 4/m c m'
_space_group_IT_number 140
_space_group_name_Hall '-I 4 2c'
_cell_length_a 8.618
_cell_length_b 8.618
_cell_length_c 16.044
_cell_angle_alpha 90.00
_cell_angle_beta 90.00
_cell_angle_gamma 90.00
loop_
_atom_site_label
_atom_site_type_symbol
_atom_site_fract_x
_atom_site_fract_y
_atom_site_fract_z
Tb1 Tb 0.000 0.000 0.000
Tb2 Tb 0.215 0.285 0.142
Pr1 Pr 0.119 0.381 0.500
Y1 Y 0.000 0.500 0.250
Ho1 Ho 0.000 0.000 0.250
```


# 18
W4C | PBE-GGA | relaxed

## Properties
energy relative to the lowest polymorph listed for this composition	0.11	eV/f.u.
uncorrected energy	-11.9217	eV per atom
spin magnetization	0.00	Bohr magnetons per cell

Geometry as CIF:
```
data_W4C
_space_group_name_H-M_alt 'C 1 2/m 1'
_space_group_IT_number 12
_space_group_name_Hall '-C 2y'
_cell_length_a 5.256
_cell_length_b 2.771
_cell_length_c 9.890
_cell_angle_alpha 90.00
_cell_angle_beta 98.36
_cell_angle_gamma 90.00
loop_
_atom_site_label
_atom_site_type_symbol
_atom_site_fract_x
_atom_site_fract_y
_atom_site_fract_z
W1 W 0.102 0.000 0.380
W2 W 0.226 0.500 0.136
C1 C 0.000 0.000 0.000
```


# 19
BaAg2P | PBE-GGA | relaxed

## Properties
uncorrected energy	-3.4910	eV per atom
spin magnetization	0.00	Bohr magnetons per cell

Geometry as CIF:
```
data_BaAg2P
_space_group_name_H-M_alt 'I -4 2 d'
_space_group_IT_number 122
_space_group_name_Hall 'I -4 2bw'
_cell_length_a 5.327
_cell_length_b 5.327
_cell_length_c 16.717
_cell_angle_alpha 90.00
_cell_angle_beta 90.00
_cell_angle_gamma 90.00
loop_
_atom_site_label
_atom_site_type_symbol
_atom_site_fract_x
_atom_site_fract_y
_atom_site_fract_z
Ba1 Ba 0.000 0.000 0.000
Ag1 Ag 0.003 0.750 0.625
P1 P 0.000 0.000 0.500
```


# 20
Na2TmScSe4 | PBE-GGA | relaxed

## Properties
uncorrected formation energy	-13.10	eV/f.u.
uncorrected energy	-5.0605	eV per atom
spin magnetization	0.00	Bohr magnetons per cell

Geometry as CIF:
```
data_Na2TmScSe4
_space_group_name_H-M_alt 'P 1 2/m 1'
_space_group_IT_number 10
_space_group_name_Hall '-P 2y'
_cell_length_a 6.961
_cell_length_b 4.022
_cell_length_c 7.358
_cell_angle_alpha 90.00
_cell_angle_beta 108.38
_cell_angle_gamma 90.00
loop_
_atom_site_label
_atom_site_type_symbol
_atom_site_fract_x
_atom_site_fract_y
_atom_site_fract_z
Na1 Na 0.000 0.000 0.000
Na2 Na 0.500 0.500 0.000
Tm1 Tm 0.000 0.500 0.500
Sc1 Sc 0.500 0.000 0.500
Se1 Se 0.249 0.000 0.725
Se2 Se 0.268 0.500 0.280
```


# 21
PmNd2TmSe4 | PBE-GGA | relaxed

## Properties
uncorrected formation energy	-14.33	eV/f.u.
uncorrected energy	-5.8781	eV per atom
spin magnetization	0.00	Bohr magnetons per cell

Geometry as CIF:
```
data_PmNd2TmSe4
_space_group_name_H-M_alt 'P 1 2/m 1'
_space_group_IT_number 10
_space_group_name_Hall '-P 2y'
_cell_length_a 7.205
_cell_length_b 4.101
_cell_length_c 7.330
_cell_angle_alpha 90.00
_cell_angle_beta 108.63
_cell_angle_gamma 90.00
loop_
_atom_site_label
_atom_site_type_symbol
_atom_site_fract_x
_atom_site_fract_y
_atom_site_fract_z
Pm1 Pm 0.000 0.000 0.000
Nd1 Nd 0.000 0.500 0.500
Nd2 Nd 0.500 0.000 0.500
Tm1 Tm 0.500 0.500 0.000
Se1 Se 0.255 0.500 0.241
Se2 Se 0.263 0.000 0.765
```


# 22
As3PdO | PBE-GGA | relaxed

## Properties
uncorrected formation energy	5.04	eV/f.u.
energy relative to the lowest polymorph listed for this composition	4.03	eV/f.u.
uncorrected energy	-3.8110	eV per atom
spin magnetization	2.03	Bohr magnetons per cell

Geometry as CIF:
```
data_As3PdO
_space_group_name_H-M_alt 'P m -3 m'
_space_group_IT_number 221
_space_group_name_Hall '-P 4 2 3'
_cell_length_a 4.862
_cell_length_b 4.862
_cell_length_c 4.862
_cell_angle_alpha 90.00
_cell_angle_beta 90.00
_cell_angle_gamma 90.00
loop_
_atom_site_label
_atom_site_type_symbol
_atom_site_fract_x
_atom_site_fract_y
_atom_site_fract_z
As1 As 0.000 0.000 0.500
Pd1 Pd 0.000 0.000 0.000
O1 O 0.500 0.500 0.500
```